First-principles (GGA-PBEsol) data for crystalline FePtO2 at its relaxed geometry, as listed in the Alexandria database.

Summary:
**Crystal system**: trigonal

Lattice parameters (Å, degrees): 2.773 2.773 6.267 77.22 77.22 60.00
Fractional coordinates of all 4 atoms:
O: 0.890 0.890 0.330
Pt: 0.000 0.000 0.000
Fe: 0.500 0.500 0.500
O: 0.110 0.110 0.670

First-principles (GGA-PBEsol) data for crystalline FeSbPt2O at its relaxed geometry, as listed in the Alexandria database.

Summary:
**Crystal system**: tetragonal

Lattice parameters (Å, degrees): 4.492 4.492 4.750 90.00 90.00 90.00
Fractional coordinates of all 5 atoms:
O: 0.500 0.500 0.500
Fe: 0.000 0.000 0.000
Sb: 0.000 0.000 0.500
Pt: 0.000 0.500 0.000
Pt: 0.500 0.000 0.000

First-principles (GGA-PBEsol) data for crystalline TiFe2PtO at its relaxed geometry, as listed in the Alexandria database.

Summary:
**Crystal system**: tetragonal

Lattice parameters (Å, degrees): 3.736 4.695 4.695 90.00 90.00 90.00
Fractional coordinates of all 5 atoms:
Fe: 0.000 0.500 0.000
O: 0.500 0.000 0.000
Pt: 0.000 0.000 0.000
Ti: 0.500 0.500 0.500
Fe: 0.000 0.000 0.500

Number 1: formation energy without anion corrections -0.920 eV per atom, total DFT energy (no corrections) -7.53 eV/atom. Number 2: formation energy without anion corrections 1.279 eV per atom, total DFT energy (no corrections) -5.26 eV/atom. Number 3: formation energy without anion corrections 0.870 eV per atom, total DFT energy (no corrections) -6.82 eV/atom.